Ni12PdPt3: relaxed, PBE-GGA.

E_form = -4.3 kJ per mole of atoms
Final energy = -0.2145 hartree per atom

a b c (Å): 3.6492 3.6492 14.6675
angles (deg): 90.00 90.00 90.00
Space group P4/mmm (No. 123)
Inequivalent atoms, fractional coordinates:
Ni (0.0000, 0.0000, 0.0000) x1
Ni (0.0000, 0.0000, 0.2496) x2
Ni (0.0000, 0.0000, 0.5000) x1
Ni (0.0000, 0.5000, 0.1250) x4
Ni (0.0000, 0.5000, 0.3747) x4
Pd (0.5000, 0.5000, 0.0000) x1
Pt (0.5000, 0.5000, 0.2494) x2
Pt (0.5000, 0.5000, 0.5000) x1